1.
# ErMoBrO4

Crystalline ErMoBrO4 at its relaxed geometry (GGA+U, the Alexandria database).

- symmetry = No. 2
- E_tot (eV/cell) = -194.2
- energy above the most stable polymorph in this dataset (meV per atom) = 0

a b c (Å): 7.0319 7.2984 10.8871
angles (deg): 102.67 107.94 95.57
Closest atoms and distances in Å follow each position.
Atoms (fractional coordinates):
Er 0.6683 0.0917 0.7288  4 O 2.25-2.40
Er 0.3317 0.9083 0.2712  4 O 2.25-2.40
Er 0.3763 0.6655 0.7675  6 O 2.24-2.39
Er 0.6237 0.3345 0.2325  6 O 2.24-2.39
Mo 0.7256 0.8186 0.1350  4 O 1.78-1.85
Mo 0.2745 0.1814 0.8650  4 O 1.78-1.85
Mo 0.7713 0.5801 0.6277  4 O 1.78-1.86
Mo 0.2287 0.4199 0.3723  4 O 1.78-1.86
Br 0.2666 0.0173 0.5209  2 Er 2.85-2.94, 1 O 3.05
Br 0.7334 0.9827 0.4791  2 Er 2.85-2.94, 1 O 3.05
Br 0.1947 0.7240 0.9891  2 Er 2.88-3.03, 3 O 3.17-3.19
Br 0.8053 0.2760 0.0109  2 Er 2.88-3.03, 3 O 3.17-3.19
O 0.6510 0.7407 0.9579  1 Mo 1.78
O 0.3490 0.2593 0.0421  1 Mo 1.78
O 0.9937 0.8940 0.2032  1 Mo 1.78
O 0.0063 0.1060 0.7968  1 Mo 1.78
O 0.6567 0.6251 0.1982  1 Mo 1.79
O 0.3433 0.3749 0.8018  1 Mo 1.79
O 0.4059 0.9884 0.8090  1 Mo 1.85
O 0.5941 0.0116 0.1910  1 Mo 1.85
O 0.0379 0.6514 0.6740  1 Mo 1.78
O 0.9621 0.3486 0.3260  1 Mo 1.78
O 0.7260 0.3852 0.6952  1 Mo 1.78
O 0.2740 0.6148 0.3048  1 Mo 1.78
O 0.6724 0.4988 0.4487  1 Mo 1.79
O 0.3276 0.5012 0.5513  1 Mo 1.79
O 0.6547 0.7726 0.7042  1 Mo 1.86
O 0.3453 0.2274 0.2958  1 Mo 1.86


2.
# ErMoBrO4

Crystalline ErMoBrO4 at its relaxed geometry (GGA+U, the Alexandria database).

- symmetry = No. 12
- E_tot (eV/cell) = -97.0
- energy above the most stable polymorph in this dataset (meV per atom) = 8

a b c (Å): 6.3723 6.3723 6.9393
angles (deg): 75.99 75.99 69.28
Closest atoms and distances in Å follow each position.
Atoms (fractional coordinates):
Er 0.2302 0.2302 0.8813  4 O 2.28-2.31
Er 0.7698 0.7698 0.1187  4 O 2.28-2.31
Mo 0.6360 0.6360 0.7331  4 O 1.77-1.82
Mo 0.3640 0.3640 0.2669  4 O 1.77-1.82
Br 0.0113 0.0113 0.2434  2 Er 2.86-2.91, 1 O 3.16
Br 0.9887 0.9887 0.7566  2 Er 2.86-2.91, 1 O 3.16
O 0.2984 0.2984 0.5334  1 Mo 1.77
O 0.7016 0.7016 0.4666  1 Mo 1.77
O 0.1095 0.4936 0.1517  1 Mo 1.82
O 0.5419 0.5419 0.1990  1 Mo 1.78
O 0.5064 0.8905 0.8483  1 Mo 1.82
O 0.4936 0.1095 0.1517  1 Mo 1.82
O 0.4581 0.4581 0.8010  1 Mo 1.78
O 0.8905 0.5064 0.8483  1 Mo 1.82